Computed, not measured: crystalline PmFePtO6 at its relaxed geometry at the PBE with a Hubbard U level of DFT.

Symmetry: No. 163
Raw total energy, Ry/atom: -0.472

Unit cell a=5.4784 b=5.4784 c=8.5387 alpha=90.00 beta=90.00 gamma=120.00
Closest atoms and distances in Å follow each position.
Fractional positions:
Pm1 0.3333 0.6667 0.2500  6 O 2.33
Pm2 0.6667 0.3333 0.7500  6 O 2.33
Fe1 0.0000 0.0000 0.0000  6 O 2.07
Fe2 0.0000 0.0000 0.5000  6 O 2.07
Pt1 0.3333 0.6667 0.7500  6 O 2.00
Pt2 0.6667 0.3333 0.2500  6 O 2.00
O1 0.0475 0.3513 0.6175  1 Pt 2.00, 1 Fe 2.07
O2 0.0475 0.6962 0.8825  1 Pt 2.00, 1 Fe 2.07
O3 0.3038 0.3513 0.8825  1 Pt 2.00, 1 Fe 2.07
O4 0.3038 0.9525 0.6175  1 Pt 2.00, 1 Fe 2.07
O5 0.3513 0.0475 0.1175  1 Pt 2.00, 1 Fe 2.07
O6 0.3513 0.3038 0.3825  1 Pt 2.00, 1 Fe 2.07
O7 0.6487 0.6962 0.6175  1 Pt 2.00, 1 Fe 2.07
O8 0.6487 0.9525 0.8825  1 Pt 2.00, 1 Fe 2.07
O9 0.6962 0.0475 0.3825  1 Pt 2.00, 1 Fe 2.07
O10 0.6962 0.6487 0.1175  1 Pt 2.00, 1 Fe 2.07
O11 0.9525 0.3038 0.1175  1 Pt 2.00, 1 Fe 2.07
O12 0.9525 0.6487 0.3825  1 Pt 2.00, 1 Fe 2.07

Computed, not measured: crystalline PmPuFe2O8 at its relaxed geometry at the PBE with a Hubbard U level of DFT.

Symmetry: No. 119
Raw total energy, Ry/atom: -0.573

Unit cell a=5.9899 b=5.9899 c=5.9899 alpha=108.36 beta=108.36 gamma=111.73
Closest atoms and distances in Å follow each position.
Fractional positions:
Pm1 0.0000 0.0000 0.0000  8 O 2.29-2.54
Pu1 0.2500 0.7500 0.5000  8 O 2.12-2.37
Fe1 0.5000 0.5000 0.0000  4 O 1.90
Fe2 0.7500 0.2500 0.5000  4 O 1.83
O1 0.3122 0.1089 0.7968  1 Fe 1.90, 1 Pu 2.12
O2 0.3122 0.5154 0.2032  1 Fe 1.90, 1 Pu 2.12
O3 0.3738 0.0501 0.3237  1 Fe 1.83
O4 0.4846 0.6878 0.7968  1 Fe 1.90, 1 Pu 2.12
O5 0.7264 0.0501 0.6763  1 Fe 1.83
O6 0.8911 0.6878 0.2032  1 Fe 1.90, 1 Pu 2.12
O7 0.9499 0.2736 0.3237  1 Fe 1.83
O8 0.9499 0.6262 0.6763  1 Fe 1.83

What did the first record say?
Computed, not measured: crystalline PmFePtO6 at its relaxed geometry at the PBE with a Hubbard U level of DFT.

Symmetry: No. 163
Raw total energy, Ry/atom: -0.472

Unit cell a=5.4784 b=5.4784 c=8.5387 alpha=90.00 beta=90.00 gamma=120.00
Closest atoms and distances in Å follow each position.
Fractional positions:
Pm1 0.3333 0.6667 0.2500  6 O 2.33
Pm2 0.6667 0.3333 0.7500  6 O 2.33
Fe1 0.0000 0.0000 0.0000  6 O 2.07
Fe2 0.0000 0.0000 0.5000  6 O 2.07
Pt1 0.3333 0.6667 0.7500  6 O 2.00
Pt2 0.6667 0.3333 0.2500  6 O 2.00
O1 0.0475 0.3513 0.6175  1 Pt 2.00, 1 Fe 2.07
O2 0.0475 0.6962 0.8825  1 Pt 2.00, 1 Fe 2.07
O3 0.3038 0.3513 0.8825  1 Pt 2.00, 1 Fe 2.07
O4 0.3038 0.9525 0.6175  1 Pt 2.00, 1 Fe 2.07
O5 0.3513 0.0475 0.1175  1 Pt 2.00, 1 Fe 2.07
O6 0.3513 0.3038 0.3825  1 Pt 2.00, 1 Fe 2.07
O7 0.6487 0.6962 0.6175  1 Pt 2.00, 1 Fe 2.07
O8 0.6487 0.9525 0.8825  1 Pt 2.00, 1 Fe 2.07
O9 0.6962 0.0475 0.3825  1 Pt 2.00, 1 Fe 2.07
O10 0.6962 0.6487 0.1175  1 Pt 2.00, 1 Fe 2.07
O11 0.9525 0.3038 0.1175  1 Pt 2.00, 1 Fe 2.07
O12 0.9525 0.6487 0.3825  1 Pt 2.00, 1 Fe 2.07